# 1
Dy2Ga5Ag3 after structural relaxation. Source: Alexandria via LeMat-Bulk, functional GGA-PBE.

abc: 8.6892 8.6892 8.6892
angles: 101.07 92.70 139.55
Fractional coordinates of all 20 atoms:
1 Dy 0.1246 0.2442 0.3688
2 Dy 0.3754 0.7442 0.1196
3 Dy 0.6246 0.2558 0.8804
4 Dy 0.8754 0.7558 0.6312
5 Ga 0.0127 0.7500 0.2627
6 Ga 0.1202 0.6461 0.7663
7 Ga 0.2500 0.2500 0.0000
8 Ga 0.3798 0.1461 0.5259
9 Ga 0.4873 0.7500 0.7373
10 Ga 0.5127 0.2500 0.2627
11 Ga 0.6202 0.8539 0.4741
12 Ga 0.7500 0.7500 0.0000
13 Ga 0.8798 0.3539 0.2337
14 Ga 0.9873 0.2500 0.7373
15 Ag 0.1317 0.8698 0.0015
16 Ag 0.2500 0.7500 0.5000
17 Ag 0.3683 0.3698 0.7381
18 Ag 0.6317 0.6302 0.2619
19 Ag 0.7500 0.2500 0.5000
20 Ag 0.8683 0.1302 0.9985

SG: No. 72
ΔH_f (0 K) in eV/atom: -0.355
DFT total energy in eV/atom: -3.644
Total moment in Bohr magnetons per cell: 0.00

---

# 2
Dy2Ga3Ag5 after structural relaxation. Source: Alexandria via LeMat-Bulk, functional GGA-PBE.

abc: 12.5813 12.5813 7.0166
angles: 90.00 90.00 159.06
Fractional coordinates of all 20 atoms:
1 Dy 0.0144 0.9856 0.5000
2 Dy 0.3276 0.6724 0.5360
3 Dy 0.6724 0.3276 0.0360
4 Dy 0.9856 0.0144 0.0000
5 Ga 0.1041 0.8959 0.1960
6 Ga 0.2711 0.7289 0.1035
7 Ga 0.4477 0.5523 0.3028
8 Ga 0.5523 0.4477 0.8028
9 Ga 0.7289 0.2711 0.6035
10 Ga 0.8959 0.1041 0.6960
11 Ag 0.1086 0.8914 0.7980
12 Ag 0.1965 0.8035 0.3885
13 Ag 0.2216 0.7784 0.7860
14 Ag 0.3760 0.6240 0.0133
15 Ag 0.4493 0.5507 0.7014
16 Ag 0.5507 0.4493 0.2014
17 Ag 0.6240 0.3760 0.5133
18 Ag 0.7784 0.2216 0.2860
19 Ag 0.8035 0.1965 0.8885
20 Ag 0.8914 0.1086 0.2980

SG: No. 36
Polymorph energy (0 for the lowest one) in meV/atom: 0
ΔH_f (0 K) in eV/atom: -0.292
DFT total energy in eV/atom: -3.546
Total moment in Bohr magnetons per cell: 0.00

---

# 3
Dy8GaAg2 after structural relaxation. Source: Alexandria via LeMat-Bulk, functional GGA-PBE.

abc: 9.2474 9.2474 6.9098
angles: 106.45 106.45 32.48
Fractional coordinates of all 11 atoms:
1 Dy 0.0270 0.0270 0.2803
2 Dy 0.1972 0.1972 0.8140
3 Dy 0.3327 0.3327 0.5218
4 Dy 0.4076 0.4076 0.0430
5 Dy 0.5924 0.5924 0.9570
6 Dy 0.6673 0.6673 0.4782
7 Dy 0.8028 0.8028 0.1860
8 Dy 0.9730 0.9730 0.7197
9 Ga 0.5000 0.5000 0.5000
10 Ag 0.1824 0.1824 0.2191
11 Ag 0.8176 0.8176 0.7809

SG: No. 12
ΔH_f (0 K) in eV/atom: -0.198
DFT total energy in eV/atom: -4.339
Total moment in Bohr magnetons per cell: 0.00

---

# 4
Dy6Ga2Ag after structural relaxation. Source: Alexandria via LeMat-Bulk, functional GGA-PBE.

abc: 8.6419 8.6419 8.6419
angles: 146.86 131.77 59.77
Fractional coordinates of all 9 atoms:
1 Dy 0.0834 0.3324 0.7510
2 Dy 0.2477 0.0000 0.2477
3 Dy 0.4185 0.6676 0.7510
4 Dy 0.5815 0.3324 0.2490
5 Dy 0.7523 0.0000 0.7523
6 Dy 0.9166 0.6676 0.2490
7 Ga 0.1673 0.1673 0.0000
8 Ga 0.8327 0.8327 0.0000
9 Ag 0.5000 0.5000 0.0000

SG: No. 71
Polymorph energy (0 for the lowest one) in meV/atom: 191
ΔH_f (0 K) in eV/atom: -0.149
DFT total energy in eV/atom: -4.206
Total moment in Bohr magnetons per cell: 0.00

---

# 5
DyGa6Ag after structural relaxation. Source: Alexandria via LeMat-Bulk, functional GGA-PBE.

abc: 6.1193 6.1193 4.4233
angles: 90.00 90.00 110.58
Fractional coordinates of all 8 atoms:
1 Dy 0.0000 0.0000 0.0000
2 Ga 0.0000 0.5000 0.0000
3 Ga 0.2183 0.7817 0.5000
4 Ga 0.2936 0.2936 0.5000
5 Ga 0.5000 0.0000 0.0000
6 Ga 0.7064 0.7064 0.5000
7 Ga 0.7817 0.2183 0.5000
8 Ag 0.5000 0.5000 0.0000

SG: No. 65
ΔH_f (0 K) in eV/atom: -0.206
DFT total energy in eV/atom: -3.407
Total moment in Bohr magnetons per cell: 0.00

---

# 6
Dy3GaAg2 after structural relaxation. Source: Alexandria via LeMat-Bulk, functional GGA-PBE.

abc: 3.5914 3.5914 10.9693
angles: 90.00 90.00 90.00
Fractional coordinates of all 6 atoms:
1 Dy 0.0000 0.0000 0.0000
2 Dy 0.0000 0.0000 0.3387
3 Dy 0.0000 0.0000 0.6613
4 Ga 0.5000 0.5000 0.5000
5 Ag 0.5000 0.5000 0.1701
6 Ag 0.5000 0.5000 0.8299

SG: No. 123
ΔH_f (0 K) in eV/atom: -0.414
DFT total energy in eV/atom: -4.170
Total moment in Bohr magnetons per cell: 0.00

---

# 7
DyGa2Ag3 after structural relaxation. Source: Alexandria via LeMat-Bulk, functional GGA-PBE.

abc: 8.2411 8.2411 6.9404
angles: 107.36 107.36 31.35
Fractional coordinates of all 12 atoms:
1 Dy 0.1205 0.1205 0.1771
2 Dy 0.8795 0.8795 0.8229
3 Ga 0.2323 0.2323 0.6697
4 Ga 0.4878 0.4878 0.1768
5 Ga 0.5122 0.5122 0.8232
6 Ga 0.7677 0.7677 0.3303
7 Ag 0.0665 0.0665 0.6923
8 Ag 0.3086 0.3086 0.0736
9 Ag 0.3665 0.3665 0.4998
10 Ag 0.6335 0.6335 0.5002
11 Ag 0.6914 0.6914 0.9264
12 Ag 0.9335 0.9335 0.3077

SG: No. 12
Polymorph energy (0 for the lowest one) in meV/atom: 0
ΔH_f (0 K) in eV/atom: -0.273
DFT total energy in eV/atom: -3.474
Total moment in Bohr magnetons per cell: 0.00

---

# 8
Dy3Ga3Ag2 after structural relaxation. Source: Alexandria via LeMat-Bulk, functional GGA-PBE.

abc: 5.8320 5.8320 14.6661
angles: 90.00 90.00 135.24
Fractional coordinates of all 16 atoms:
1 Dy 0.0869 0.9131 0.6096
2 Dy 0.0869 0.9131 0.8904
3 Dy 0.3567 0.6433 0.7500
4 Dy 0.6433 0.3567 0.2500
5 Dy 0.9131 0.0869 0.1096
6 Dy 0.9131 0.0869 0.3904
7 Ga 0.3571 0.6429 0.2500
8 Ga 0.3957 0.6043 0.5418
9 Ga 0.3957 0.6043 0.9582
10 Ga 0.6043 0.3957 0.0418
11 Ga 0.6043 0.3957 0.4582
12 Ga 0.6429 0.3571 0.7500
13 Ag 0.2086 0.7914 0.0977
14 Ag 0.2086 0.7914 0.4023
15 Ag 0.7914 0.2086 0.5977
16 Ag 0.7914 0.2086 0.9023

SG: No. 63
ΔH_f (0 K) in eV/atom: -0.509
DFT total energy in eV/atom: -4.083
Total moment in Bohr magnetons per cell: 0.00

---

> Number 6 is which compound?

Dy3GaAg2